VASP calculation (GGA+U) on crystalline K3Sm2FeO6 at its relaxed geometry.

Cell and atoms, written as POSCAR:
```
K3Sm2FeO6
1.0
-2.603 -1.708 -5.079
-2.418 -1.491 5.236
-1.693 6.325 -0.103
K Fe O Sm
3 1 6 2
direct
0.839 0.161 0.500
0.500 0.500 0.500
0.161 0.839 0.500
0.000 0.000 0.000
0.368 0.061 0.185
0.061 0.368 0.185
0.939 0.632 0.815
0.246 0.246 0.817
0.632 0.939 0.815
0.754 0.754 0.183
0.333 0.667 0.000
0.667 0.333 0.000
```

Output
The total DFT energy (no corrections) comes out at -74.7 eV for the cell shown. The calculation puts the calculated volume at 15.990 A^3/atom. As for the space group: C2/m (12). The size of the total moment is 4.868 Bohr magnetons per cell.